[1]
A relaxed BaCr2Au crystal, computed with PBE-GGA.

distance to the lowest polymorph of the same formula: 0.093 eV per atom
space-group type: R-3m (166)
ΔH_f (0 K): 1.69 eV/f.u.

The structure in CIF format:
```
data_BaCr2Au
_cell_length_a 6.406
_cell_length_b 6.406
_cell_length_c 6.406
_cell_angle_alpha 42.41
_cell_angle_beta 42.41
_cell_angle_gamma 42.41
_symmetry_space_group_name_H-M 'P 1'
_symmetry_Int_Tables_number 1
loop_
_symmetry_equiv_pos_as_xyz
'x,y,z'
loop_
_atom_site_label
_atom_site_type_symbol
_atom_site_fract_x
_atom_site_fract_y
_atom_site_fract_z
Au1 Au 0.250 0.250 0.250
Cr1 Cr 0.558 0.558 0.558
Cr2 Cr 0.942 0.942 0.942
Ba1 Ba 0.750 0.750 0.750
```

[2]
A relaxed BaCr2Au crystal, computed with PBE-GGA.

distance to the lowest polymorph of the same formula: 1.006 eV per atom
space-group type: Fm-3m (225)
ΔH_f (0 K): 5.35 eV/f.u.

The structure in CIF format:
```
data_BaCr2Au
_cell_length_a 4.703
_cell_length_b 4.703
_cell_length_c 4.703
_cell_angle_alpha 60.00
_cell_angle_beta 60.00
_cell_angle_gamma 60.00
_symmetry_space_group_name_H-M 'P 1'
_symmetry_Int_Tables_number 1
loop_
_symmetry_equiv_pos_as_xyz
'x,y,z'
loop_
_atom_site_label
_atom_site_type_symbol
_atom_site_fract_x
_atom_site_fract_y
_atom_site_fract_z
Au1 Au 0.500 0.500 0.500
Cr1 Cr 0.250 0.250 0.250
Cr2 Cr 0.750 0.750 0.750
Ba1 Ba 0.000 0.000 0.000
```

[3]
A relaxed BaCr2Au crystal, computed with PBE-GGA.

distance to the lowest polymorph of the same formula: 0.082 eV per atom
space-group type: Cm (8)
ΔH_f (0 K): 1.65 eV/f.u.

The structure in CIF format:
```
data_BaCr2Au
_cell_length_a 4.745
_cell_length_b 4.745
_cell_length_c 6.423
_cell_angle_alpha 68.39
_cell_angle_beta 68.39
_cell_angle_gamma 60.00
_symmetry_space_group_name_H-M 'P 1'
_symmetry_Int_Tables_number 1
loop_
_symmetry_equiv_pos_as_xyz
'x,y,z'
loop_
_atom_site_label
_atom_site_type_symbol
_atom_site_fract_x
_atom_site_fract_y
_atom_site_fract_z
Au1 Au 0.437 0.437 0.690
Cr1 Cr 0.757 0.757 0.728
Cr2 Cr 0.059 0.059 0.823
Ba1 Ba 0.247 0.247 0.259
```

[4]
A relaxed BaCrAu2 crystal, computed with PBE-GGA.

distance to the lowest polymorph of the same formula: 0.277 eV per atom
space-group type: P4mm (99)
ΔH_f (0 K): 0.15 eV/f.u.

The structure in CIF format:
```
data_BaCrAu2
_cell_length_a 3.847
_cell_length_b 3.847
_cell_length_c 7.125
_cell_angle_alpha 90.00
_cell_angle_beta 90.00
_cell_angle_gamma 90.00
_symmetry_space_group_name_H-M 'P 1'
_symmetry_Int_Tables_number 1
loop_
_symmetry_equiv_pos_as_xyz
'x,y,z'
loop_
_atom_site_label
_atom_site_type_symbol
_atom_site_fract_x
_atom_site_fract_y
_atom_site_fract_z
Ba1 Ba 0.000 0.000 0.479
Cr1 Cr 0.500 0.500 0.854
Au1 Au 0.500 0.500 0.226
Au2 Au 0.000 0.000 0.941
```

> What is the ΔH_f (0 K) in the third record?

1.65 eV/f.u.

> Which formula does entry 1 have?

BaCr2Au

> Among the records above, which one has the highest distance to the lowest polymorph of the same formula?

number 2

> The highest distance to the lowest polymorph of the same formula belongs to which entry?

number 2